1.
Computed, not measured: crystalline LiCoPdRh at its relaxed geometry at the PBE level of DFT.

Lattice parameters (Å, degrees): 4.198 4.198 4.198 60.00 60.00 60.00
Atoms (fractional coordinates):
Co  0.000  0.000  0.000
Pd  0.750  0.750  0.750
Li  0.500  0.500  0.500
Rh  0.250  0.250  0.250

* crystal system: cubic
* formation energy from the elements: -0.0678 eV per atom

2.
Computed, not measured: crystalline Li2CoSnPd at its relaxed geometry at the PBE level of DFT.

Lattice parameters (Å, degrees): 4.901 4.935 4.901 90.00 90.00 90.00
Atoms (fractional coordinates):
Li  0.500  0.000  0.000
Pd  0.000  0.500  0.000
Sn  0.000  0.000  0.000
Li  0.000  0.000  0.500
Co  0.500  0.500  0.500

* crystal system: tetragonal
* formation energy from the elements: 0.7861 eV per atom

3.
Computed, not measured: crystalline LiTaCo2Pd at its relaxed geometry at the PBE level of DFT.

Lattice parameters (Å, degrees): 4.558 3.927 4.558 90.00 90.00 90.00
Atoms (fractional coordinates):
Pd  0.000  0.000  0.000
Co  0.500  0.000  0.000
Co  0.000  0.000  0.500
Ta  0.500  0.500  0.500
Li  0.000  0.500  0.000

* crystal system: tetragonal
* formation energy from the elements: 1.1478 eV per atom

4.
Computed, not measured: crystalline LiCoTc2Pd at its relaxed geometry at the PBE level of DFT.

Lattice parameters (Å, degrees): 4.373 4.122 4.373 90.00 90.00 90.00
Atoms (fractional coordinates):
Li  0.000  0.500  0.000
Pd  0.500  0.500  0.500
Tc  0.500  0.000  0.000
Co  0.000  0.000  0.000
Tc  0.000  0.000  0.500

* crystal system: tetragonal
* formation energy from the elements: 1.0050 eV per atom

5.
Computed, not measured: crystalline LiTi2CoPd at its relaxed geometry at the PBE level of DFT.

Lattice parameters (Å, degrees): 4.729 4.220 4.729 90.00 90.00 90.00
Atoms (fractional coordinates):
Ti  0.500  0.000  0.000
Co  0.500  0.500  0.500
Li  0.000  0.500  0.000
Ti  0.000  0.000  0.500
Pd  0.000  0.000  0.000

* crystal system: tetragonal
* formation energy from the elements: 0.8304 eV per atom

6.
Computed, not measured: crystalline LiZrCoPd at its relaxed geometry at the PBE level of DFT.

Lattice parameters (Å, degrees): 4.416 4.416 4.416 60.00 60.00 60.00
Atoms (fractional coordinates):
Zr  0.500  0.500  0.500
Li  0.000  0.000  0.000
Pd  0.250  0.250  0.250
Co  0.750  0.750  0.750

* crystal system: cubic
* formation energy from the elements: -0.2661 eV per atom